[1]
Below is a relaxed structure of RbZrCoPt2, with properties calculated at the PBE level.

Cell: 4.9980 4.9980 5.9260 Å, 90.00 90.00 90.00°
Fractional positions:
Rb: 0.0000 0.0000 0.0000
Zr: 0.0000 0.0000 0.5000
Co: 0.5000 0.5000 0.0000
Pt: 0.0000 0.5000 0.5000
Pt: 0.5000 0.0000 0.5000

Output
final energy	-0.162	hartree per atom

=====

[2]
Below is a relaxed structure of Cu2BiF, with properties calculated at the PBE level.

Cell: 5.6166 5.6166 5.6166 Å, 109.13 109.13 110.16°
Fractional positions:
Cu: 0.0562 0.6250 0.9312
Cu: 0.3750 0.3062 0.4312
Cu: 0.6938 0.1250 0.0688
Cu: 0.8750 0.9438 0.5688
Bi: 0.2500 0.7500 0.5000
Bi: 0.5000 0.5000 0.0000
F: 0.0000 0.0000 0.0000
F: 0.7500 0.2500 0.5000

Output
raw formation energy	-288	meV/atom

=====

[3]
Below is a relaxed structure of ScTe2Pt, with properties calculated at the PBE level.

Cell: 8.5644 8.5644 8.5644 Å, 142.03 142.03 54.78°
Fractional positions:
Sc: 0.0000 0.0000 0.0000
Sc: 0.7500 0.2500 0.5000
Te: 0.1509 0.6250 0.0259
Te: 0.3750 0.4009 0.5259
Te: 0.5991 0.1250 0.9741
Te: 0.8750 0.8491 0.4741
Pt: 0.2500 0.7500 0.5000
Pt: 0.5000 0.5000 0.0000

Output
raw formation energy	-481	meV/atom

=====

[4]
Below is a relaxed structure of NbP2AuS, with properties calculated at the PBE level.

Cell: 4.8809 4.8809 4.6710 Å, 90.00 90.00 90.00°
Fractional positions:
Nb: 0.0000 0.0000 0.0000
P: 0.0000 0.5000 0.0000
P: 0.5000 0.0000 0.0000
Au: 0.5000 0.5000 0.5000
S: 0.0000 0.0000 0.5000

Output
raw formation energy	449	meV/atom

=====

Number 1: density of states at the Fermi level 7.07 states/eV per cell. Number 2: density of states at the Fermi level 0.92 states/eV per cell. Number 3: density of states at the Fermi level 8.67 states/eV per cell. Number 4: density of states at the Fermi level 3.72 states/eV per cell.